{"formula": "Ce3BeSi2", "functional": "GGA-PBE", "state": "relaxed", "cell": [[-1.6940, -0.1334, 3.5689], [0.5267, -10.5733, -0.1451], [10.7444, 0.4650, 5.1172]], "species": ["Ce", "Ce", "Ce", "Ce", "Ce", "Ce", "Ce", "Ce", "Ce", "Ce", "Ce", "Ce", "Be", "Be", "Be", "Be", "Si", "Si", "Si", "Si", "Si", "Si", "Si", "Si"], "fractional_positions": [[0.7500, 0.5743, 0.6223], [0.2500, 0.7556, 0.7078], [0.7500, 0.9078, 0.4551], [0.2500, 0.0922, 0.5449], [0.7500, 0.9257, 0.1223], [0.2500, 0.4257, 0.3777], [0.2500, 0.4078, 0.0449], [0.7500, 0.5922, 0.9551], [0.2500, 0.0743, 0.8777], [0.7500, 0.2444, 0.2922], [0.7500, 0.2556, 0.7922], [0.2500, 0.7444, 0.2078], [0.7500, 0.6399, 0.3720], [0.2500, 0.3601, 0.6280], [0.2500, 0.1399, 0.1280], [0.7500, 0.8601, 0.8720], [0.2500, 0.4712, 0.7925], [0.2500, 0.8057, 0.9575], [0.7500, 0.1943, 0.0425], [0.2500, 0.0288, 0.2925], [0.2500, 0.6943, 0.4575], [0.7500, 0.9712, 0.7075], [0.7500, 0.5288, 0.2075], [0.7500, 0.3057, 0.5425]], "formation_energy_uncorrected_ev_per_atom": -0.497}